[1]
Here is crystalline BaAgTe2 at its relaxed geometry from the Alexandria database. Energies are from PBE-GGA.

The space group is I-42d (No. 122) and the conventional cell measures 8.403, 8.403 and 7.825 Å, with angles of 90.00, 90.00 and 90.00 degrees. The distinct sites, in fractional coordinates, are Ba at (0.000, 0.000, 0.000), Ag at (0.000, 0.000, 0.500) and Te at (0.178, 0.750, 0.625).

The calculation puts the total energy at -57.3 eV/cell. The value obtained for the uncorrected formation energy is -815 meV per atom.

=====

[2]
Here is crystalline Tm4Cu2Bi at its relaxed geometry from the Alexandria database. Energies are from PBE-GGA.

The space group is Imma (No. 74) and the conventional cell measures 9.267, 9.271 and 8.911 Å, with angles of 90.00, 90.00 and 90.00 degrees. The distinct sites, in fractional coordinates, are Tm at (0.000, 0.074, 0.211), Tm at (0.177, 0.250, 0.539), Cu at (0.000, 0.000, 0.500), Cu at (0.250, 0.250, 0.250) and Bi at (0.000, 0.250, 0.875).

The calculation puts the total energy at -125.1 eV/cell. For the formation energy, the calculation gives -0.19 eV per atom.

=====

[3]
Here is crystalline AcPr4Er6 at its relaxed geometry from the Alexandria database. Energies are from PBE-GGA.

The space group is I-42m (No. 121) and the conventional cell measures 6.765, 6.765 and 17.059 Å, with angles of 90.00, 90.00 and 90.00 degrees. The distinct sites, in fractional coordinates, are Ac at (0.000, 0.000, 0.000), Pr at (0.193, 0.193, 0.822), Er at (0.000, 0.500, 0.000) and Er at (0.178, 0.178, 0.622).

The calculation puts the total energy at -94.0 eV/cell. For the formation energy, the calculation gives 0.33 eV per atom.

=====

[4]
Here is crystalline TbPmY2 at its relaxed geometry from the Alexandria database. Energies are from PBE-GGA.

The space group is Fm-3m (No. 225) and the conventional cell measures 8.092, 8.092 and 8.092 Å, with angles of 90.00, 90.00 and 90.00 degrees. The distinct sites, in fractional coordinates, are Tb at (0.000, 0.000, 0.000), Pm at (0.000, 0.000, 0.500) and Y at (0.250, 0.250, 0.250).

The calculation puts the total energy at -87.3 eV/cell. For the formation energy, the calculation gives 0.12 eV per atom.

=====

[5]
Here is crystalline Ac2NdHg8 at its relaxed geometry from the Alexandria database. Energies are from PBE-GGA.

The space group is Immm (No. 71) and the conventional cell measures 5.435, 7.727 and 15.050 Å, with angles of 90.00, 90.00 and 90.00 degrees. The distinct sites, in fractional coordinates, are Ac at (0.000, 0.000, 0.201), Nd at (0.000, 0.000, 0.500), Hg at (0.000, 0.217, 0.000), Hg at (0.000, 0.299, 0.365) and Hg at (0.000, 0.500, 0.152).

The calculation puts the total energy at -38.7 eV/cell. For the formation energy, the calculation gives -0.36 eV per atom.

=====

[6]
Here is crystalline Mg2TiPt9 at its relaxed geometry from the Alexandria database. Energies are from PBE-GGA.

The space group is P4/mmm (No. 123) and the conventional cell measures 3.952, 3.952 and 11.863 Å, with angles of 90.00, 90.00 and 90.00 degrees. The distinct sites, in fractional coordinates, are Mg at (0.000, 0.000, 0.165), Ti at (0.000, 0.000, 0.500), Pt at (0.000, 0.500, 0.000), Pt at (0.000, 0.500, 0.337), Pt at (0.500, 0.500, 0.169) and Pt at (0.500, 0.500, 0.500).

The calculation puts the total energy at -74.1 eV/cell. For the formation energy, the calculation gives -0.72 eV per atom.

=====

[7]
Here is crystalline La2Pm3Er6Sc at its relaxed geometry from the Alexandria database. Energies are from PBE-GGA.

The space group is C2/m (No. 12) and the conventional cell measures 6.172, 10.692 and 11.764 Å, with angles of 90.00, 100.05 and 90.00 degrees. The distinct sites, in fractional coordinates, are La at (0.000, 0.166, 0.000), Pm at (0.000, 0.000, 0.500), Pm at (0.000, 0.333, 0.500), Er at (0.247, 0.500, 0.750), Er at (0.248, 0.335, 0.250) and Sc at (0.000, 0.500, 0.000).

The calculation puts the total energy at -115.0 eV/cell. For the formation energy, the calculation gives 0.03 eV per atom.

=====

[8]
Here is crystalline MgCr2Os at its relaxed geometry from the Alexandria database. Energies are from PBE-GGA.

The space group is P2/m (No. 10) and the conventional cell measures 2.598, 4.245 and 5.027 Å, with angles of 90.00, 101.82 and 90.00 degrees. The distinct sites, in fractional coordinates, are Mg at (0.000, 0.000, 0.000), Cr at (0.278, 0.500, 0.749) and Os at (0.500, 0.000, 0.500).

The calculation puts the total energy at -30.7 eV/cell. For the formation energy, the calculation gives 0.35 eV per atom.

=====

[9]
Here is crystalline PmPaBi2 at its relaxed geometry from the Alexandria database. Energies are from PBE-GGA.

The space group is R-3m (No. 166, hexagonal axes) and the conventional cell measures 3.4012, 3.4012 and 36.4771 Å, with angles of 90.00, 90.00 and 120.00 degrees. The distinct sites, in fractional coordinates, are Pm at (0.0000, 0.0000, 0.0000), Pa at (0.0000, 0.0000, 0.5000) and Bi at (0.0000, 0.0000, 0.4106).

The calculation puts the total energy at -65.9 eV/cell. For the formation energy, the calculation gives 0.01 eV per atom.

=====

[10]
Here is crystalline Th2GaHgRu at its relaxed geometry from the Alexandria database. Energies are from PBE-GGA.

The space group is P2_1/m (No. 11) and the conventional cell measures 7.990, 4.160 and 8.002 Å, with angles of 90.00, 111.49 and 90.00 degrees. The distinct sites, in fractional coordinates, are Th at (0.113, 0.250, 0.352), Th at (0.282, 0.250, 0.990), Ga at (0.450, 0.750, 0.365), Hg at (0.314, 0.750, 0.688) and Ru at (0.128, 0.750, 0.119).

The calculation puts the total energy at -59.2 eV/cell. For the formation energy, the calculation gives -0.43 eV per atom.

=====

[11]
Here is crystalline Tm5Sn2Os at its relaxed geometry from the Alexandria database. Energies are from PBE-GGA.

The space group is Cmcm (No. 63) and the conventional cell measures 5.530, 15.676 and 13.324 Å, with angles of 90.00, 90.00 and 90.00 degrees. The distinct sites, in fractional coordinates, are Tm at (0.000, 0.054, 0.116), Tm at (0.000, 0.282, 0.091), Tm at (0.000, 0.291, 0.750), Sn at (0.000, 0.141, 0.587) and Os at (0.000, 0.175, 0.250).

The calculation puts the total energy at -169.1 eV/cell. For the formation energy, the calculation gives -0.09 eV per atom.

=====

[12]
Here is crystalline Pa2BrF7 at its relaxed geometry from the Alexandria database. Energies are from PBE-GGA.

The space group is Cmmm (No. 65) and the conventional cell measures 7.985, 9.943 and 4.491 Å, with angles of 90.00, 90.00 and 90.00 degrees. The distinct sites, in fractional coordinates, are Pa at (0.000, 0.233, 0.000), Br at (0.000, 0.500, 0.500), F at (0.000, 0.000, 0.000), F at (0.000, 0.183, 0.500) and F at (0.226, 0.366, 0.000).

The calculation puts the total energy at -135.4 eV/cell. The value obtained for the uncorrected formation energy is -3393 meV per atom.